# LaCo2Au PBE relaxed
# DOS(E_F)	4.71	states/eV/f.u.
# VASP energy	-5.7687	eV/atom
# total magnetic moment	3.910	Bohr magnetons per cell
# energy of formation	-164.6	meV per atom
data_LaCo2Au
_chemical_formula_sum 'La3 Co6 Au3'
_cell_length_a 4.4250
_cell_length_b 4.4250
_cell_length_c 13.9938
_cell_angle_alpha 90.00
_cell_angle_beta 90.00
_cell_angle_gamma 120.00
_symmetry_space_group_name_H-M 'R -3 m'
_symmetry_Int_Tables_number 166
_symmetry_space_group_name_Hall '-R 3 2"'
loop_
_atom_site_label
_atom_site_type_symbol
_atom_site_fract_x
_atom_site_fract_y
_atom_site_fract_z
La1 La 0.0000 0.0000 0.0000
Co1 Co 0.0000 0.0000 0.1792
Au1 Au 0.0000 0.0000 0.5000


# Nd2Ho3Tl PBE relaxed
# DOS(E_F)	8.41	states/eV/f.u.
# VASP energy	-4.1604	eV/atom
# total magnetic moment	0.000	Bohr magnetons per cell
# energy of formation	112.1	meV per atom
data_Nd2Ho3Tl
_chemical_formula_sum 'Nd4 Ho6 Tl2'
_cell_length_a 3.467
_cell_length_b 17.615
_cell_length_c 6.456
_cell_angle_alpha 90.00
_cell_angle_beta 90.00
_cell_angle_gamma 90.00
_symmetry_space_group_name_H-M 'I m m 2'
_symmetry_Int_Tables_number 44
_symmetry_space_group_name_Hall 'I 2 -2'
loop_
_atom_site_label
_atom_site_type_symbol
_atom_site_fract_x
_atom_site_fract_y
_atom_site_fract_z
Nd1 Nd 0.000 0.190 0.000
Ho1 Ho 0.000 0.135 0.494
Ho2 Ho 0.000 0.500 0.699
Tl1 Tl 0.000 0.000 0.782


# ZrCoN2 PBE relaxed
# DOS(E_F)	2.75	states/eV/f.u.
# VASP energy	-8.6147	eV/atom
# total magnetic moment	0.000	Bohr magnetons per cell
# energy relative to the elements, uncorrected	-0.539	eV per atom
data_ZrCoN2
_chemical_formula_sum 'Zr4 Co4 N8'
_cell_length_a 4.492
_cell_length_b 4.492
_cell_length_c 9.833
_cell_angle_alpha 90.00
_cell_angle_beta 90.00
_cell_angle_gamma 90.00
_symmetry_space_group_name_H-M 'I -4 2 d'
_symmetry_Int_Tables_number 122
_symmetry_space_group_name_Hall 'I -4 2bw'
loop_
_atom_site_label
_atom_site_type_symbol
_atom_site_fract_x
_atom_site_fract_y
_atom_site_fract_z
Zr1 Zr 0.000 0.000 0.000
Co1 Co 0.000 0.000 0.500
N1 N 0.210 0.250 0.625


# BaCdGaF7 PBE relaxed
# DOS(E_F)	0.00	states/eV/f.u.
# VASP energy	-4.8130	eV/atom
# total magnetic moment	0.000	Bohr magnetons per cell
# energy relative to the elements, uncorrected	-2.917	eV per atom
data_BaCdGaF7
_chemical_formula_sum 'Ba8 Cd8 Ga8 F56'
_cell_length_a 14.155
_cell_length_b 5.441
_cell_length_c 15.236
_cell_angle_alpha 90.00
_cell_angle_beta 91.50
_cell_angle_gamma 90.00
_symmetry_space_group_name_H-M 'C 1 2/c 1'
_symmetry_Int_Tables_number 15
_symmetry_space_group_name_Hall '-C 2yc'
loop_
_atom_site_label
_atom_site_type_symbol
_atom_site_fract_x
_atom_site_fract_y
_atom_site_fract_z
Ba1 Ba 0.190 0.038 0.125
Cd1 Cd 0.000 0.455 0.750
Cd2 Cd 0.000 0.500 0.000
Ga1 Ga 0.123 0.010 0.875
F1 F 0.003 0.115 0.653
F2 F 0.061 0.398 0.128
F3 F 0.089 0.159 0.480
F4 F 0.122 0.267 0.298
F5 F 0.137 0.301 0.951
F6 F 0.163 0.218 0.778
F7 F 0.249 0.443 0.596


Question: The lowest VASP energy belongs to which entry?
Answer: ZrCoN2


Question: The highest total magnetic moment belongs to which entry?
Answer: LaCo2Au